# Pr2SmZn2Si4Au2

A relaxed Pr2SmZn2Si4Au2 crystal (PBE, the Open Quantum Materials Database).

abc: 12.930 12.930 12.930
angles: 161.36 160.95 26.77
Fractional coordinates of all 11 atoms:
Pr  0.147  0.147  0.000
Pr  0.853  0.853  0.000
Sm  0.500  0.000  0.500
Zn  0.250  0.750  0.500
Zn  0.750  0.250  0.500
Si  0.047  0.547  0.500
Si  0.307  0.307  0.000
Si  0.693  0.693  0.000
Si  0.953  0.453  0.500
Au  0.405  0.405  0.000
Au  0.595  0.595  0.000

Calculated values
Space-group type: Immm, No. 71
Spin magnetization (μB per cell): 0.017
Calculated total energy (eV/atom): -4.7646

***

# SrPrSi3Au

A relaxed SrPrSi3Au crystal (PBE, the Open Quantum Materials Database).

abc: 8.532 8.387 6.104
angles: 70.13 67.59 42.29
Fractional coordinates of all 12 atoms:
Sr  0.250  0.250  0.250
Sr  0.750  0.750  0.750
Pr  0.242  0.758  0.242
Pr  0.758  0.242  0.758
Si  0.162  0.162  0.838
Si  0.165  0.674  0.835
Si  0.326  0.835  0.674
Si  0.674  0.165  0.326
Si  0.835  0.326  0.165
Si  0.838  0.838  0.162
Au  0.334  0.334  0.666
Au  0.666  0.666  0.334

Calculated values
Space-group type: Fmmm, No. 69
Spin magnetization (μB per cell): 0.021
Calculated total energy (eV/atom): -5.0341